1.
Zr2BeRh6 | PBE | optimized geometry

a = 8.1301 Å, b = 8.1301 Å, c = 8.1301 Å
α = 90.00°, β = 90.00°, γ = 90.00°
Closest atoms and distances in Å follow each position.
Space group Fm-3m (No. 225)
Asymmetric unit:
Zr 0.2500 0.2500 0.2500 x8  12 Rh 2.88
Be 0.0000 0.0000 0.0000 x4  6 Rh 2.13
Rh 0.0000 0.0000 0.2623 x24  1 Be 2.13

Summary:
- D(E_F) (states/eV per cell) = 22.2
- energy above the most stable polymorph in this dataset (meV per atom) = 0
- E_tot (eV per atom) = -7.912
- crystal system = cubic



2.
Zr2Be3Rh | PBE | optimized geometry

a = 8.3664 Å, b = 4.9590 Å, c = 4.8582 Å
α = 90.00°, β = 124.09°, γ = 90.00°
Closest atoms and distances in Å follow each position.
Space group C2/m (No. 12)
Asymmetric unit:
Zr 0.1249 0.0000 0.3775 x4  9 Be 2.85-2.88, 3 Rh 2.89-2.91, 4 Zr 2.93-3.04
Be 0.0000 0.5000 0.5000 x2  2 Rh 2.43, 4 Be 2.47
Be 0.2500 0.2500 0.0000 x4  2 Rh 2.43, 4 Be 2.47-2.48
Rh 0.0000 0.5000 0.0000 x2  6 Be 2.43

Summary:
- D(E_F) (states/eV per cell) = 10.4
- E_tot (eV per atom) = -6.281
- crystal system = monoclinic



3.
ZrBe2Rh | PBE | optimized geometry

a = 6.5048 Å, b = 3.7587 Å, c = 4.9989 Å
α = 90.00°, β = 115.58°, γ = 90.00°
Closest atoms and distances in Å follow each position.
Space group C2/m (No. 12)
Asymmetric unit:
Zr 0.0000 0.0000 0.0000 x2  8 Be 2.74-2.83
Be 0.2086 0.0000 0.6267 x4  3 Rh 2.24, 3 Be 2.45
Rh 0.0000 0.5000 0.5000 x2  6 Be 2.24

Summary:
- D(E_F) (states/eV per cell) = 4.9
- energy above the most stable polymorph in this dataset (meV per atom) = 0
- E_tot (eV per atom) = -6.273
- crystal system = monoclinic



4.
ZrBe2Rh | PBE | optimized geometry

a = 3.4118 Å, b = 4.0595 Å, c = 7.9086 Å
α = 90.00°, β = 90.00°, γ = 90.00°
Closest atoms and distances in Å follow each position.
Space group Imm2 (No. 44)
Asymmetric unit:
Zr 0.0000 0.0000 0.0000 x2  4 Rh 2.69-2.76, 8 Be 2.70-2.74
Be 0.0000 0.0000 0.4383 x2  2 Be 2.18
Be 0.0000 0.5000 0.7675 x2  2 Be 2.18
Rh 0.0000 0.5000 0.2371 x2  6 Be 2.58-2.66, 4 Zr 2.69-2.76

Summary:
- D(E_F) (states/eV per cell) = 6.4
- energy above the most stable polymorph in this dataset (meV per atom) = 182
- E_tot (eV per atom) = -6.090
- crystal system = orthorhombic



5.
Zr2BeRh | PBE | optimized geometry

a = 3.1611 Å, b = 3.1611 Å, c = 6.8101 Å
α = 90.00°, β = 90.00°, γ = 90.00°
Closest atoms and distances in Å follow each position.
Space group P4mm (No. 99)
Asymmetric unit:
Zr 0.0000 0.0000 0.0000 x1  1 Be 2.81, 4 Rh 2.89, 4 Zr 3.12
Zr 0.5000 0.5000 0.3189 x1  1 Rh 2.81, 4 Be 2.89, 4 Zr 3.12
Be 0.0000 0.0000 0.5873 x1  4 Rh 2.44
Rh 0.5000 0.5000 0.7317 x1  4 Be 2.44

Summary:
- D(E_F) (states/eV per cell) = 2.8
- E_tot (eV per atom) = -7.419
- crystal system = tetragonal



6.
Zr2BeRh | PBE | optimized geometry

a = 3.1942 Å, b = 3.1942 Å, c = 23.8381 Å
α = 90.00°, β = 90.00°, γ = 120.00°
Closest atoms and distances in Å follow each position.
Space group R-3m (No. 166, hexagonal axes)
Asymmetric unit:
Zr 0.0000 0.0000 0.2447 x6  3 Be 2.62, 3 Rh 2.80
Be 0.0000 0.0000 0.5000 x3  6 Zr 2.62
Rh 0.0000 0.0000 0.0000 x3  6 Zr 2.80

Summary:
- D(E_F) (states/eV per cell) = 7.3
- E_tot (eV per atom) = -7.183
- crystal system = trigonal



7.
Zr2BeRh | PBE | optimized geometry

a = 3.2950 Å, b = 3.2950 Å, c = 6.2834 Å
α = 90.00°, β = 90.00°, γ = 90.00°
Closest atoms and distances in Å follow each position.
Space group P4/mmm (No. 123)
Asymmetric unit:
Zr 0.0000 0.0000 0.2421 x2  4 Be 2.78, 4 Rh 2.84, 1 Zr 3.04
Be 0.5000 0.5000 0.0000 x1  8 Zr 2.78
Rh 0.5000 0.5000 0.5000 x1  8 Zr 2.84, 2 Be 3.14

Summary:
- D(E_F) (states/eV per cell) = 2.4
- E_tot (eV per atom) = -7.459
- crystal system = tetragonal



8.
ZrBe2Rh | PBE | optimized geometry

a = 6.4532 Å, b = 3.7172 Å, c = 5.1120 Å
α = 90.00°, β = 114.69°, γ = 90.00°
Closest atoms and distances in Å follow each position.
Space group Cm (No. 8)
Asymmetric unit:
Zr 0.0000 0.0000 0.0000 x2  4 Rh 2.76-2.91, 7 Be 2.82-2.94
Be 0.2964 0.5000 0.3921 x2  3 Be 2.16, 3 Rh 2.40-2.41
Be 0.4762 0.0000 0.4314 x2  3 Be 2.16, 3 Rh 2.33
Rh 0.2072 0.0000 0.6255 x2  6 Be 2.33-2.41

Summary:
- D(E_F) (states/eV per cell) = 6.5
- energy above the most stable polymorph in this dataset (meV per atom) = 90
- E_tot (eV per atom) = -6.183
- crystal system = monoclinic



9.
Zr2BeRh | PBE | optimized geometry

a = 5.6975 Å, b = 3.2963 Å, c = 7.6200 Å
α = 90.00°, β = 104.27°, γ = 90.00°
Closest atoms and distances in Å follow each position.
Space group P2_1/m (No. 11)
Asymmetric unit:
Zr 0.2140 0.2500 0.4313 x2  3 Be 2.68-2.75, 3 Rh 2.75-2.80
Zr 0.2476 0.7500 0.0570 x2  3 Be 2.70-2.74, 3 Rh 2.84
Be 0.1182 0.2500 0.7678 x2  2 Rh 2.34
Rh 0.3887 0.7500 0.7240 x2  2 Be 2.34

Summary:
- D(E_F) (states/eV per cell) = 5.9
- E_tot (eV per atom) = -7.466
- crystal system = monoclinic



10.
Zr2Be9Rh | PBE | optimized geometry

a = 4.5628 Å, b = 4.5628 Å, c = 21.7699 Å
α = 90.00°, β = 90.00°, γ = 120.00°
Closest atoms and distances in Å follow each position.
Space group R-3m (No. 166, hexagonal axes)
Asymmetric unit:
Zr 0.0000 0.0000 0.1439 x6  12 Be 2.68-2.78, 3 Zr 2.82
Be 0.0000 0.0000 0.3343 x6  6 Be 2.11-2.17
Be 0.0000 0.0000 0.5000 x3  6 Be 2.34
Be 0.0053 0.5027 0.0774 x18  7 Be 2.11-2.34
Rh 0.0000 0.0000 0.0000 x3  18 Be 2.63-2.84

Summary:
- D(E_F) (states/eV per cell) = 13.4
- E_tot (eV per atom) = -4.955
- crystal system = trigonal



11.
ZrBeRh2 | PBE | optimized geometry

a = 5.6057 Å, b = 8.3321 Å, c = 2.8617 Å
α = 90.00°, β = 115.56°, γ = 90.00°
Closest atoms and distances in Å follow each position.
Space group C2/m (No. 12)
Asymmetric unit:
Zr 0.0000 0.0000 0.0000 x2  4 Rh 2.57, 2 Be 2.80, 2 Zr 2.86
Be 0.0000 0.5000 0.0000 x2  4 Rh 2.57, 2 Zr 2.80, 2 Be 2.86
Rh 0.2500 0.2500 0.5000 x4  2 Zr 2.57, 2 Be 2.57, 4 Rh 2.80-2.86

Summary:
- D(E_F) (states/eV per cell) = 6.3
- E_tot (eV per atom) = -7.022
- crystal system = monoclinic



12.
ZrBeRh2 | PBE | optimized geometry

a = 4.4213 Å, b = 3.0921 Å, c = 8.5514 Å
α = 90.00°, β = 90.00°, γ = 90.00°
Closest atoms and distances in Å follow each position.
Space group Pmma (No. 51)
Asymmetric unit:
Zr 0.2500 0.0000 0.1408 x2  6 Rh 2.71-2.72
Be 0.2500 0.0000 0.6118 x2  4 Rh 2.36-2.41
Rh 0.2500 0.5000 0.4029 x2  2 Be 2.36
Rh 0.2500 0.5000 0.8282 x2  2 Be 2.41

Summary:
- D(E_F) (states/eV per cell) = 3.4
- E_tot (eV per atom) = -7.359
- crystal system = orthorhombic



13.
ZrBe4Rh | PBE | optimized geometry

a = 6.4538 Å, b = 6.4538 Å, c = 6.4538 Å
α = 90.00°, β = 90.00°, γ = 90.00°
Closest atoms and distances in Å follow each position.
Space group F-43m (No. 216)
Asymmetric unit:
Zr 0.0000 0.0000 0.0000 x4  12 Be 2.68, 4 Rh 2.79
Be 0.1246 0.1246 0.3754 x16  6 Be 2.27-2.29
Rh 0.2500 0.2500 0.7500 x4  12 Be 2.67, 4 Zr 2.79

Summary:
- D(E_F) (states/eV per cell) = 13.0
- E_tot (eV per atom) = -5.542
- crystal system = cubic



14.
ZrBe2Rh | PBE | optimized geometry

a = 3.6212 Å, b = 3.0385 Å, c = 9.5403 Å
α = 90.00°, β = 90.00°, γ = 90.00°
Closest atoms and distances in Å follow each position.
Space group Amm2 (No. 38)
Asymmetric unit:
Zr 0.0000 0.0000 0.0000 x2  7 Be 2.58-2.67
Be 0.0000 0.0000 0.7300 x2  2 Be 2.10
Be 0.5000 0.0000 0.6188 x2  2 Be 2.10, 2 Rh 2.34
Rh 0.5000 0.0000 0.3056 x2  6 Be 2.34-2.47

Summary:
- D(E_F) (states/eV per cell) = 4.6
- energy above the most stable polymorph in this dataset (meV per atom) = 23
- E_tot (eV per atom) = -6.249
- crystal system = orthorhombic



15.
ZrBe2Rh | PBE | optimized geometry

a = 5.4241 Å, b = 6.4881 Å, c = 3.0399 Å
α = 90.00°, β = 90.64°, γ = 90.00°
Closest atoms and distances in Å follow each position.
Space group C2/m (No. 12)
Asymmetric unit:
Zr 0.0000 0.0000 0.0000 x2  8 Be 2.59-2.61, 2 Rh 2.71
Be 0.2500 0.2500 0.5000 x4  4 Zr 2.59-2.61, 4 Rh 2.59-2.61, 2 Be 2.71
Rh 0.0000 0.5000 0.0000 x2  8 Be 2.59-2.61, 2 Zr 2.71

Summary:
- D(E_F) (states/eV per cell) = 4.4
- energy above the most stable polymorph in this dataset (meV per atom) = 279
- E_tot (eV per atom) = -5.994
- crystal system = monoclinic



16.
ZrBeRh4 | PBE | optimized geometry

a = 7.2281 Å, b = 7.2281 Å, c = 7.2281 Å
α = 90.00°, β = 90.00°, γ = 90.00°
Closest atoms and distances in Å follow each position.
Space group F-43m (No. 216)
Asymmetric unit:
Zr 0.0000 0.0000 0.0000 x4  12 Rh 3.00, 4 Be 3.13
Be 0.2500 0.2500 0.7500 x4  12 Rh 3.00, 4 Zr 3.13
Rh 0.1243 0.1243 0.3757 x16  6 Rh 2.54-2.57

Summary:
- D(E_F) (states/eV per cell) = 28.9
- E_tot (eV per atom) = -7.146
- crystal system = cubic



17.
ZrBe17Rh | PBE | optimized geometry

a = 7.3952 Å, b = 7.3952 Å, c = 10.7703 Å
α = 90.00°, β = 90.00°, γ = 120.00°
Closest atoms and distances in Å follow each position.
Space group R3m (No. 160, hexagonal axes)
Asymmetric unit:
Zr 0.0000 0.0000 0.0000 x3  19 Be 2.64-2.82
Be 0.0000 0.0000 0.2454 x3  4 Be 2.13-2.20
Be 0.0000 0.0000 0.4428 x3  7 Be 2.13-2.31
Be 0.0068 0.2991 0.3411 x18  8 Be 2.11-2.26
Be 0.0123 0.5061 0.4955 x9  9 Be 2.14-2.39
Be 0.0133 0.5066 0.1916 x9  9 Be 2.15-2.25
Be 0.0131 0.5065 0.8371 x9  10 Be 2.11-2.31
Rh 0.0000 0.0000 0.6723 x3  13 Be 2.47-2.66

Summary:
- D(E_F) (states/eV per cell) = 9.8
- E_tot (eV per atom) = -4.380
- crystal system = trigonal



18.
Zr2BeRh | PBE | optimized geometry

a = 7.2879 Å, b = 7.2879 Å, c = 5.4959 Å
α = 90.00°, β = 90.00°, γ = 90.00°
Closest atoms and distances in Å follow each position.
Space group I-42d (No. 122)
Asymmetric unit:
Zr 0.2379 0.2500 0.1250 x8  2 Rh 2.61, 2 Be 2.73, 2 Zr 2.75
Be 0.0000 0.0000 0.5000 x4  4 Zr 2.73, 2 Rh 2.75
Rh 0.0000 0.0000 0.0000 x4  4 Zr 2.61, 2 Be 2.75

Summary:
- D(E_F) (states/eV per cell) = 17.3
- E_tot (eV per atom) = -6.957
- crystal system = tetragonal



19.
ZrBe9Rh2 | PBE | optimized geometry

a = 4.4373 Å, b = 4.4373 Å, c = 13.9447 Å
α = 90.00°, β = 90.00°, γ = 120.00°
Closest atoms and distances in Å follow each position.
Space group P6_3/mmc (No. 194)
Asymmetric unit:
Zr 0.3333 0.6667 0.2500 x2  6 Be 2.56
Be 0.0000 0.0000 0.0000 x2  6 Be 2.11
Be 0.0000 0.0000 0.2500 x2  6 Be 2.25
Be 0.1696 0.3391 0.6188 x12  7 Be 2.11-2.26
Be 0.3333 0.6667 0.7500 x2  6 Be 2.22
Rh 0.3333 0.6667 0.0428 x4  12 Be 2.46-2.63

Summary:
- D(E_F) (states/eV per cell) = 4.0
- energy above the most stable polymorph in this dataset (meV per atom) = 0
- E_tot (eV per atom) = -5.130
- crystal system = hexagonal



20.
ZrBeRh2 | PBE | optimized geometry

a = 4.1585 Å, b = 4.1585 Å, c = 3.3874 Å
α = 90.00°, β = 90.00°, γ = 90.00°
Closest atoms and distances in Å follow each position.
Space group P4/mmm (No. 123)
Asymmetric unit:
Zr 0.0000 0.0000 0.0000 x1  8 Rh 2.68, 4 Be 2.94
Be 0.5000 0.5000 0.0000 x1  8 Rh 2.68, 4 Zr 2.94
Rh 0.0000 0.5000 0.5000 x2  4 Zr 2.68, 4 Be 2.68, 4 Rh 2.94

Summary:
- D(E_F) (states/eV per cell) = 0.6
- E_tot (eV per atom) = -7.421
- crystal system = tetragonal